(1)
Below is a geometry-optimized YAuBr3 structure, with properties calculated at the GGA-PBE level.

- formation energy from raw total energies (eV/atom) = -0.174
- relative energy among the computed polymorphs (meV/atom) = 693
- total magnetization (μB/f.u.) = 1.1
- V (Å³ per atom) = 30.9

```
data_YAuBr3
_cell_length_a 5.3671
_cell_length_b 5.3671
_cell_length_c 5.3671
_cell_angle_alpha 90.00
_cell_angle_beta 90.00
_cell_angle_gamma 90.00
_space_group_name_H-M_alt 'P m -3 m'
_space_group_IT_number 221
_space_group_name_Hall '-P 4 2 3'
loop_
_atom_site_label
_atom_site_type_symbol
_atom_site_fract_x
_atom_site_fract_y
_atom_site_fract_z
Y1 Y 0.0000 0.0000 0.0000
Au1 Au 0.5000 0.5000 0.5000
Br1 Br 0.0000 0.5000 0.5000
```

---

(2)
Below is a geometry-optimized Y2AuBr structure, with properties calculated at the GGA-PBE level.

- formation energy from raw total energies (eV/atom) = -0.898
- relative energy among the computed polymorphs (meV/atom) = 52
- total magnetization (μB/f.u.) = 0.0
- V (Å³ per atom) = 27.1

```
data_Y2AuBr
_cell_length_a 3.5737
_cell_length_b 3.6558
_cell_length_c 8.2934
_cell_angle_alpha 90.00
_cell_angle_beta 90.00
_cell_angle_gamma 90.00
_space_group_name_H-M_alt 'P m m m'
_space_group_IT_number 47
_space_group_name_Hall '-P 2 2'
loop_
_atom_site_label
_atom_site_type_symbol
_atom_site_fract_x
_atom_site_fract_y
_atom_site_fract_z
Y1 Y 0.0000 0.0000 0.2089
Au1 Au 0.5000 0.5000 0.0000
Br1 Br 0.5000 0.0000 0.5000
```

---

(3)
Below is a geometry-optimized YAu2Br structure, with properties calculated at the GGA-PBE level.

- formation energy from raw total energies (eV/atom) = -0.775
- relative energy among the computed polymorphs (meV/atom) = 33
- total magnetization (μB/f.u.) = 0.0
- V (Å³ per atom) = 29.9

```
data_YAu2Br
_cell_length_a 4.4460
_cell_length_b 4.4460
_cell_length_c 20.9866
_cell_angle_alpha 90.00
_cell_angle_beta 90.00
_cell_angle_gamma 120.00
_space_group_name_H-M_alt 'R 3 m'
_space_group_IT_number 160
_space_group_name_Hall 'R 3 -2"'
loop_
_atom_site_label
_atom_site_type_symbol
_atom_site_fract_x
_atom_site_fract_y
_atom_site_fract_z
Y1 Y 0.0000 0.0000 0.0000
Au1 Au 0.0000 0.0000 0.4395
Au2 Au 0.0000 0.0000 0.7280
Br1 Br 0.0000 0.0000 0.2526
```